[1]
# PBE OsRhW, optimized geometry
data_OsRhW
_chemical_formula_sum 'Os4 Rh4 W4'
_cell_length_a 5.949
_cell_length_b 5.949
_cell_length_c 5.949
_cell_angle_alpha 90.00
_cell_angle_beta 90.00
_cell_angle_gamma 90.00
_symmetry_space_group_name_H-M 'F -4 3 m'
_symmetry_Int_Tables_number 216
_symmetry_space_group_name_Hall 'F -4 2 3'
loop_
_atom_site_label
_atom_site_type_symbol
_atom_site_fract_x
_atom_site_fract_y
_atom_site_fract_z
_atom_site_occupancy
Os1 Os 0.000 0.000 0.000 1
Rh1 Rh 0.000 0.000 0.500 1
W1 W 0.250 0.250 0.750 1
# - Fermi-level density of states: 8.97 states/eV/cell
# - Raw total energy: -10.1275 eV/atom
# - Distance to the lowest polymorph of the same formula: 0.502 eV per atom
# - DFT formation energy: 384 meV/atom

[2]
# PBE OsRh2W, optimized geometry
data_OsRh2W
_chemical_formula_sum 'Os4 Rh8 W4'
_cell_length_a 6.213
_cell_length_b 6.213
_cell_length_c 6.213
_cell_angle_alpha 90.00
_cell_angle_beta 90.00
_cell_angle_gamma 90.00
_symmetry_space_group_name_H-M 'F m -3 m'
_symmetry_Int_Tables_number 225
_symmetry_space_group_name_Hall '-F 4 2 3'
loop_
_atom_site_label
_atom_site_type_symbol
_atom_site_fract_x
_atom_site_fract_y
_atom_site_fract_z
_atom_site_occupancy
Os1 Os 0.000 0.000 0.000 1
Rh1 Rh 0.250 0.250 0.250 1
W1 W 0.000 0.000 0.500 1
# - Fermi-level density of states: 27.85 states/eV/cell
# - Raw total energy: -9.2597 eV/atom
# - Distance to the lowest polymorph of the same formula: 0.603 eV per atom
# - DFT formation energy: 462 meV/atom

[3]
# PBE Os2RhW, optimized geometry
data_Os2RhW
_chemical_formula_sum 'Os8 Rh4 W4'
_cell_length_a 2.724
_cell_length_b 10.089
_cell_length_c 8.580
_cell_angle_alpha 90.00
_cell_angle_beta 90.00
_cell_angle_gamma 90.00
_symmetry_space_group_name_H-M 'C m c m'
_symmetry_Int_Tables_number 63
_symmetry_space_group_name_Hall '-C 2c 2'
loop_
_atom_site_label
_atom_site_type_symbol
_atom_site_fract_x
_atom_site_fract_y
_atom_site_fract_z
_atom_site_occupancy
Os1 Os 0.000 0.132 0.020 1
Rh1 Rh 0.000 0.251 0.750 1
W1 W 0.000 0.485 0.250 1
# - Fermi-level density of states: 10.88 states/eV/cell
# - Raw total energy: -10.6534 eV/atom
# - Distance to the lowest polymorph of the same formula: 0.113 eV per atom
# - DFT formation energy: 38 meV/atom

[4]
# PBE OsRhW, optimized geometry
data_OsRhW
_chemical_formula_sum 'Os4 Rh4 W4'
_cell_length_a 2.769
_cell_length_b 14.468
_cell_length_c 4.424
_cell_angle_alpha 90.00
_cell_angle_beta 90.00
_cell_angle_gamma 90.00
_symmetry_space_group_name_H-M 'C m c m'
_symmetry_Int_Tables_number 63
_symmetry_space_group_name_Hall '-C 2c 2'
loop_
_atom_site_label
_atom_site_type_symbol
_atom_site_fract_x
_atom_site_fract_y
_atom_site_fract_z
_atom_site_occupancy
Os1 Os 0.000 0.222 0.250 1
Rh1 Rh 0.000 0.443 0.750 1
W1 W 0.000 0.111 0.750 1
# - Fermi-level density of states: 8.25 states/eV/cell
# - Raw total energy: -10.6296 eV/atom
# - Distance to the lowest polymorph of the same formula: 0.000 eV per atom
# - DFT formation energy: -118 meV/atom

[5]
# PBE Os2RhW, optimized geometry
data_Os2RhW
_chemical_formula_sum 'Os2 Rh1 W1'
_cell_length_a 2.756
_cell_length_b 2.756
_cell_length_c 7.785
_cell_angle_alpha 90.00
_cell_angle_beta 90.00
_cell_angle_gamma 90.00
_symmetry_space_group_name_H-M 'P 4/m m m'
_symmetry_Int_Tables_number 123
_symmetry_space_group_name_Hall '-P 4 2'
loop_
_atom_site_label
_atom_site_type_symbol
_atom_site_fract_x
_atom_site_fract_y
_atom_site_fract_z
_atom_site_occupancy
Os1 Os 0.000 0.000 0.248 1
Rh1 Rh 0.500 0.500 0.000 1
W1 W 0.500 0.500 0.500 1
# - Fermi-level density of states: 4.27 states/eV/cell
# - Raw total energy: -10.5872 eV/atom
# - Distance to the lowest polymorph of the same formula: 0.180 eV per atom
# - DFT formation energy: 104 meV/atom

[6]
# PBE OsRhW, optimized geometry
data_OsRhW
_chemical_formula_sum 'Os2 Rh2 W2'
_cell_length_a 2.729
_cell_length_b 3.926
_cell_length_c 8.340
_cell_angle_alpha 90.00
_cell_angle_beta 90.00
_cell_angle_gamma 90.00
_symmetry_space_group_name_H-M 'I m m 2'
_symmetry_Int_Tables_number 44
_symmetry_space_group_name_Hall 'I 2 -2'
loop_
_atom_site_label
_atom_site_type_symbol
_atom_site_fract_x
_atom_site_fract_y
_atom_site_fract_z
_atom_site_occupancy
Os1 Os 0.000 0.000 0.000 1
Rh1 Rh 0.000 0.000 0.332 1
W1 W 0.000 0.000 0.661 1
# - Fermi-level density of states: 7.64 states/eV/cell
# - Raw total energy: -10.4994 eV/atom
# - Distance to the lowest polymorph of the same formula: 0.130 eV per atom
# - DFT formation energy: 12 meV/atom

[7]
# PBE YOs2Rh, optimized geometry
data_YOs2Rh
_chemical_formula_sum 'Y1 Os2 Rh1'
_cell_length_a 2.922
_cell_length_b 2.922
_cell_length_c 7.909
_cell_angle_alpha 90.00
_cell_angle_beta 90.00
_cell_angle_gamma 90.00
_symmetry_space_group_name_H-M 'P 4 m m'
_symmetry_Int_Tables_number 99
_symmetry_space_group_name_Hall 'P 4 -2'
loop_
_atom_site_label
_atom_site_type_symbol
_atom_site_fract_x
_atom_site_fract_y
_atom_site_fract_z
_atom_site_occupancy
Y1 Y 0.000 0.000 0.000 1
Os1 Os 0.000 0.000 0.494 1
Os2 Os 0.500 0.500 0.288 1
Rh1 Rh 0.500 0.500 0.723 1
# - Fermi-level density of states: 3.69 states/eV/cell
# - Raw total energy: -9.0227 eV/atom
# - Distance to the lowest polymorph of the same formula: 0.000 eV per atom
# - DFT formation energy: 46 meV/atom

[8]
# PBE YOs2Rh, optimized geometry
data_YOs2Rh
_chemical_formula_sum 'Y1 Os2 Rh1'
_cell_length_a 2.923
_cell_length_b 4.877
_cell_length_c 4.817
_cell_angle_alpha 90.00
_cell_angle_beta 97.58
_cell_angle_gamma 90.00
_symmetry_space_group_name_H-M 'P 1 2/m 1'
_symmetry_Int_Tables_number 10
_symmetry_space_group_name_Hall '-P 2y'
loop_
_atom_site_label
_atom_site_type_symbol
_atom_site_fract_x
_atom_site_fract_y
_atom_site_fract_z
_atom_site_occupancy
Y1 Y 0.000 0.000 0.000 1
Os1 Os 0.316 0.500 0.734 1
Rh1 Rh 0.500 0.000 0.500 1
# - Fermi-level density of states: 5.68 states/eV/cell
# - Raw total energy: -8.8320 eV/atom
# - Distance to the lowest polymorph of the same formula: 0.191 eV per atom
# - DFT formation energy: 237 meV/atom

[9]
# PBE YOs2Rh, optimized geometry
data_YOs2Rh
_chemical_formula_sum 'Y2 Os4 Rh2'
_cell_length_a 5.606
_cell_length_b 8.280
_cell_length_c 2.860
_cell_angle_alpha 90.00
_cell_angle_beta 90.00
_cell_angle_gamma 90.00
_symmetry_space_group_name_H-M 'C m m m'
_symmetry_Int_Tables_number 65
_symmetry_space_group_name_Hall '-C 2 2'
loop_
_atom_site_label
_atom_site_type_symbol
_atom_site_fract_x
_atom_site_fract_y
_atom_site_fract_z
_atom_site_occupancy
Y1 Y 0.000 0.000 0.000 1
Os1 Os 0.250 0.250 0.500 1
Rh1 Rh 0.000 0.500 0.000 1
# - Fermi-level density of states: 8.76 states/eV/cell
# - Raw total energy: -8.8026 eV/atom
# - Distance to the lowest polymorph of the same formula: 0.220 eV per atom
# - DFT formation energy: 266 meV/atom

[10]
# PBE YOs2Rh, optimized geometry
data_YOs2Rh
_chemical_formula_sum 'Y2 Os4 Rh2'
_cell_length_a 9.290
_cell_length_b 2.953
_cell_length_c 5.149
_cell_angle_alpha 90.00
_cell_angle_beta 101.93
_cell_angle_gamma 90.00
_symmetry_space_group_name_H-M 'C 1 m 1'
_symmetry_Int_Tables_number 8
_symmetry_space_group_name_Hall 'C -2y'
loop_
_atom_site_label
_atom_site_type_symbol
_atom_site_fract_x
_atom_site_fract_y
_atom_site_fract_z
_atom_site_occupancy
Y1 Y 0.000 0.000 0.000 1
Os1 Os 0.004 0.500 0.520 1
Os2 Os 0.239 0.000 0.653 1
Rh1 Rh 0.261 0.500 0.245 1
# - Fermi-level density of states: 8.85 states/eV/cell
# - Raw total energy: -8.9691 eV/atom
# - Distance to the lowest polymorph of the same formula: 0.054 eV per atom
# - DFT formation energy: 100 meV/atom

[11]
# PBE Y8OsRh2, optimized geometry
data_Y8OsRh2
_chemical_formula_sum 'Y16 Os2 Rh4'
_cell_length_a 8.288
_cell_length_b 12.672
_cell_length_c 6.035
_cell_angle_alpha 90.00
_cell_angle_beta 109.79
_cell_angle_gamma 90.00
_symmetry_space_group_name_H-M 'C 1 m 1'
_symmetry_Int_Tables_number 8
_symmetry_space_group_name_Hall 'C -2y'
loop_
_atom_site_label
_atom_site_type_symbol
_atom_site_fract_x
_atom_site_fract_y
_atom_site_fract_z
_atom_site_occupancy
Y1 Y 0.000 0.000 0.000 1
Y2 Y 0.067 0.371 0.767 1
Y3 Y 0.152 0.128 0.575 1
Y4 Y 0.209 0.500 0.358 1
Y5 Y 0.353 0.210 0.180 1
Os1 Os 0.352 0.000 0.346 1
Rh1 Rh 0.362 0.312 0.678 1
# - Fermi-level density of states: 23.65 states/eV/cell
# - Raw total energy: -7.3795 eV/atom
# - DFT formation energy: -321 meV/atom

[12]
# PBE Y3OsRh, optimized geometry
data_Y3OsRh
_chemical_formula_sum 'Y3 Os1 Rh1'
_cell_length_a 5.266
_cell_length_b 5.266
_cell_length_c 5.266
_cell_angle_alpha 90.00
_cell_angle_beta 90.00
_cell_angle_gamma 90.00
_symmetry_space_group_name_H-M 'P m -3 m'
_symmetry_Int_Tables_number 221
_symmetry_space_group_name_Hall '-P 4 2 3'
loop_
_atom_site_label
_atom_site_type_symbol
_atom_site_fract_x
_atom_site_fract_y
_atom_site_fract_z
_atom_site_occupancy
Y1 Y 0.000 0.000 0.500 1
Os1 Os 0.000 0.000 0.000 1
Rh1 Rh 0.500 0.500 0.500 1
# - Fermi-level density of states: 2.62 states/eV/cell
# - Raw total energy: -7.3626 eV/atom
# - Distance to the lowest polymorph of the same formula: 0.000 eV per atom
# - DFT formation energy: 232 meV/atom

[13]
# PBE YOsRh2, optimized geometry
data_YOsRh2
_chemical_formula_sum 'Y2 Os2 Rh4'
_cell_length_a 5.818
_cell_length_b 7.759
_cell_length_c 2.911
_cell_angle_alpha 90.00
_cell_angle_beta 90.00
_cell_angle_gamma 90.00
_symmetry_space_group_name_H-M 'C m m m'
_symmetry_Int_Tables_number 65
_symmetry_space_group_name_Hall '-C 2 2'
loop_
_atom_site_label
_atom_site_type_symbol
_atom_site_fract_x
_atom_site_fract_y
_atom_site_fract_z
_atom_site_occupancy
Y1 Y 0.000 0.000 0.000 1
Os1 Os 0.000 0.500 0.000 1
Rh1 Rh 0.250 0.250 0.500 1
# - Fermi-level density of states: 7.51 states/eV/cell
# - Raw total energy: -8.2322 eV/atom
# - Distance to the lowest polymorph of the same formula: 0.000 eV per atom
# - DFT formation energy: -133 meV/atom

[14]
# PBE YOsRh, optimized geometry
data_YOsRh
_chemical_formula_sum 'Y4 Os4 Rh4'
_cell_length_a 6.304
_cell_length_b 6.304
_cell_length_c 6.304
_cell_angle_alpha 90.00
_cell_angle_beta 90.00
_cell_angle_gamma 90.00
_symmetry_space_group_name_H-M 'F -4 3 m'
_symmetry_Int_Tables_number 216
_symmetry_space_group_name_Hall 'F -4 2 3'
loop_
_atom_site_label
_atom_site_type_symbol
_atom_site_fract_x
_atom_site_fract_y
_atom_site_fract_z
_atom_site_occupancy
Y1 Y 0.000 0.000 0.000 1
Os1 Os 0.000 0.000 0.500 1
Rh1 Rh 0.250 0.250 0.750 1
# - Fermi-level density of states: 20.07 states/eV/cell
# - Raw total energy: -8.0259 eV/atom
# - Distance to the lowest polymorph of the same formula: 0.821 eV per atom
# - DFT formation energy: 323 meV/atom